A plane-wave DFT calculation with PBE with a Hubbard U was carried out for a relaxed ZrVP2O crystal.

The structure in POSCAR format:
```
ZrVP2O
1.0
4.7355 0.0000 0.0000
0.0000 4.7355 0.0000
0.0000 0.0000 3.5756
Zr V P O
1 1 2 1
Cartesian
0.0000 0.0000 0.0000
2.3678 2.3678 1.7878
0.0000 2.3678 1.7878
2.3678 0.0000 1.7878
2.3678 2.3678 0.0000
```

Calculated values
Crystal system   tetragonal
M_tot   0.0 μB/f.u.
Energy above the most stable polymorph in this dataset   0 kJ/mol of formula units
Space-group type   No. 123
Uncorrected energy   -6.85 eV per atom